Entry 1
{
  "formula": "Li2Cu4S3",
  "functional": "PBE",
  "state": "optimized geometry",
  "vol_a3_per_atom": 15.55,
  "dos_ef_per_ev_atom": 0.0432,
  "cell": [[7.824, -1.898, 0.000], [7.824, 1.898, 0.000], [-3.083, 0.000, 9.424]],
  "species": ["Li", "Li", "Li", "Li", "Cu", "Cu", "Cu", "Cu", "Cu", "Cu", "Cu", "Cu", "S", "S", "S", "S", "S", "S"],
  "frac_coords": [[0.175, 0.175, 0.416], [0.274, 0.274, 0.141], [0.726, 0.726, 0.859], [0.825, 0.825, 0.584], [0.086, 0.086, 0.969], [0.087, 0.087, 0.614], [0.456, 0.456, 0.863], [0.459, 0.459, 0.595], [0.541, 0.541, 0.405], [0.544, 0.544, 0.137], [0.913, 0.913, 0.386], [0.914, 0.914, 0.031], [0.011, 0.011, 0.257], [0.330, 0.330, 0.407], [0.333, 0.333, 0.935], [0.667, 0.667, 0.065], [0.670, 0.670, 0.593], [0.989, 0.989, 0.743]]
}

Entry 2
{
  "formula": "Li2Cu4S3",
  "functional": "PBE",
  "state": "optimized geometry",
  "vol_a3_per_atom": 14.85,
  "cell": [[7.997, 0.000, 0.000], [0.000, 10.750, 0.000], [0.000, 0.000, 6.220]],
  "species": ["Li", "Li", "Li", "Li", "Li", "Li", "Li", "Li", "Cu", "Cu", "Cu", "Cu", "Cu", "Cu", "Cu", "Cu", "Cu", "Cu", "Cu", "Cu", "Cu", "Cu", "Cu", "Cu", "S", "S", "S", "S", "S", "S", "S", "S", "S", "S", "S", "S"],
  "frac_coords": [[0.000, 0.000, 0.000], [0.000, 0.500, 0.000], [0.013, 0.250, 0.332], [0.487, 0.750, 0.832], [0.500, 0.000, 0.500], [0.500, 0.500, 0.500], [0.513, 0.250, 0.168], [0.987, 0.750, 0.668], [0.141, 0.078, 0.605], [0.141, 0.422, 0.605], [0.154, 0.750, 0.995], [0.199, 0.250, 0.970], [0.301, 0.750, 0.470], [0.346, 0.250, 0.495], [0.359, 0.578, 0.105], [0.359, 0.922, 0.105], [0.641, 0.078, 0.895], [0.641, 0.422, 0.895], [0.654, 0.750, 0.505], [0.699, 0.250, 0.530], [0.801, 0.750, 0.030], [0.846, 0.250, 0.005], [0.859, 0.578, 0.395], [0.859, 0.922, 0.395], [0.004, 0.750, 0.290], [0.246, 0.595, 0.752], [0.246, 0.905, 0.752], [0.254, 0.095, 0.252], [0.254, 0.405, 0.252], [0.496, 0.250, 0.790], [0.504, 0.750, 0.210], [0.746, 0.595, 0.748], [0.746, 0.905, 0.748], [0.754, 0.095, 0.248], [0.754, 0.405, 0.248], [0.996, 0.250, 0.710]]
}

Entry 3
{
  "formula": "Li2Cu4S3",
  "functional": "PBE",
  "state": "optimized geometry",
  "vol_a3_per_atom": 15.21,
  "cell": [[5.578, -4.515, 0.000], [5.578, 4.515, 0.000], [-2.783, 0.000, 5.433]],
  "species": ["Li", "Li", "Li", "Li", "Cu", "Cu", "Cu", "Cu", "Cu", "Cu", "Cu", "Cu", "S", "S", "S", "S", "S", "S"],
  "frac_coords": [[0.091, 0.213, 0.189], [0.213, 0.091, 0.689], [0.787, 0.909, 0.311], [0.909, 0.787, 0.811], [0.101, 0.622, 0.396], [0.245, 0.523, 0.035], [0.378, 0.899, 0.104], [0.477, 0.755, 0.465], [0.523, 0.245, 0.535], [0.622, 0.101, 0.896], [0.755, 0.477, 0.965], [0.899, 0.378, 0.604], [0.149, 0.851, 0.250], [0.232, 0.410, 0.627], [0.410, 0.232, 0.127], [0.590, 0.768, 0.873], [0.768, 0.590, 0.373], [0.851, 0.149, 0.750]]
}

Of them, entry 3 has the lowest stability.

Entry 1
{
  "formula": "Li3CuS",
  "functional": "PBE",
  "state": "optimized geometry",
  "vol_a3_per_atom": 18.05,
  "dos_ef_per_ev_atom": 0.0000,
  "cell": [[4.485, 0.000, 0.000], [0.000, 4.485, 0.000], [0.000, 0.000, 4.485]],
  "species": ["Li", "Li", "Li", "Cu", "S"],
  "frac_coords": [[0.000, 0.000, 0.500], [0.000, 0.500, 0.000], [0.500, 0.000, 0.000], [0.000, 0.000, 0.000], [0.500, 0.500, 0.500]]
}

Entry 2
{
  "formula": "Li3CuS",
  "functional": "PBE",
  "state": "optimized geometry",
  "vol_a3_per_atom": 19.36,
  "dos_ef_per_ev_atom": 0.0000,
  "cell": [[4.592, 0.000, 0.000], [0.000, 4.592, 0.000], [0.000, 0.000, 4.592]],
  "species": ["Li", "Li", "Li", "Cu", "S"],
  "frac_coords": [[0.000, 0.000, 0.500], [0.000, 0.500, 0.000], [0.500, 0.000, 0.000], [0.500, 0.500, 0.500], [0.000, 0.000, 0.000]]
}

Of them, entry 1 has the lowest stability.

Entry 1
{
  "formula": "Li2Cu2Sb",
  "functional": "PBE",
  "state": "optimized geometry",
  "vol_a3_per_atom": 15.90,
  "dos_ef_per_ev_atom": 0.4146,
  "cell": [[6.846, 0.000, 0.000], [0.000, 6.846, 0.000], [0.000, 0.000, 3.391]],
  "species": ["Li", "Li", "Li", "Li", "Cu", "Cu", "Cu", "Cu", "Sb", "Sb"],
  "frac_coords": [[0.167, 0.333, 0.000], [0.333, 0.833, 0.000], [0.667, 0.167, 0.000], [0.833, 0.667, 0.000], [0.126, 0.626, 0.500], [0.374, 0.126, 0.500], [0.626, 0.874, 0.500], [0.874, 0.374, 0.500], [0.000, 0.000, 0.500], [0.500, 0.500, 0.500]]
}

Entry 2
{
  "formula": "Li2Cu2Sb",
  "functional": "PBE",
  "state": "optimized geometry",
  "vol_a3_per_atom": 16.72,
  "dos_ef_per_ev_atom": 0.4746,
  "cell": [[-1.899, 1.899, 5.798], [1.899, -1.899, 5.798], [1.899, 1.899, -5.798]],
  "species": ["Li", "Li", "Cu", "Cu", "Sb"],
  "frac_coords": [[0.250, 0.750, 0.500], [0.750, 0.250, 0.500], [0.101, 0.101, 0.000], [0.899, 0.899, 0.000], [0.500, 0.500, 0.000]]
}

Entry 3
{
  "formula": "Li2Cu2Sb",
  "functional": "PBE",
  "state": "optimized geometry",
  "vol_a3_per_atom": 15.46,
  "dos_ef_per_ev_atom": 0.2846,
  "cell": [[6.882, 0.000, 0.000], [0.000, 6.882, 0.000], [0.000, 0.000, 3.264]],
  "species": ["Li", "Li", "Li", "Li", "Cu", "Cu", "Cu", "Cu", "Sb", "Sb"],
  "frac_coords": [[0.140, 0.360, 0.000], [0.360, 0.860, 0.000], [0.640, 0.140, 0.000], [0.860, 0.640, 0.000], [0.141, 0.641, 0.500], [0.359, 0.141, 0.500], [0.641, 0.859, 0.500], [0.859, 0.359, 0.500], [0.000, 0.000, 0.000], [0.500, 0.500, 0.000]]
}

Of them, entry 2 has the lowest stability.

Entry 1
{
  "formula": "Li2CuSb2",
  "functional": "PBE",
  "state": "optimized geometry",
  "vol_a3_per_atom": 19.34,
  "dos_ef_per_ev_atom": 0.2778,
  "cell": [[7.845, 0.000, 0.000], [0.000, 7.845, 0.000], [0.000, 0.000, 3.143]],
  "species": ["Li", "Li", "Li", "Li", "Cu", "Cu", "Sb", "Sb", "Sb", "Sb"],
  "frac_coords": [[0.113, 0.387, 0.000], [0.387, 0.887, 0.000], [0.613, 0.113, 0.000], [0.887, 0.613, 0.000], [0.000, 0.000, 0.000], [0.500, 0.500, 0.000], [0.190, 0.690, 0.500], [0.310, 0.190, 0.500], [0.690, 0.810, 0.500], [0.810, 0.310, 0.500]]
}

Entry 2
{
  "formula": "Li2CuSb2",
  "functional": "PBE",
  "state": "optimized geometry",
  "vol_a3_per_atom": 23.70,
  "dos_ef_per_ev_atom": 0.6098,
  "cell": [[-2.111, 2.111, 6.648], [2.111, -2.111, 6.648], [2.111, 2.111, -6.648]],
  "species": ["Li", "Li", "Cu", "Sb", "Sb"],
  "frac_coords": [[0.099, 0.099, 0.000], [0.901, 0.901, 0.000], [0.500, 0.500, 0.000], [0.250, 0.750, 0.500], [0.750, 0.250, 0.500]]
}

Of them, entry 2 has the lowest stability.

Entry 1
{
  "formula": "Li2CuSb2",
  "functional": "PBE",
  "state": "optimized geometry",
  "vol_a3_per_atom": 21.57,
  "dos_ef_per_ev_atom": 0.2828,
  "cell": [[6.885, 0.000, 0.000], [0.000, 6.885, 0.000], [0.000, 0.000, 4.550]],
  "species": ["Li", "Li", "Li", "Li", "Cu", "Cu", "Sb", "Sb", "Sb", "Sb"],
  "frac_coords": [[0.159, 0.341, 0.000], [0.341, 0.841, 0.000], [0.659, 0.159, 0.000], [0.841, 0.659, 0.000], [0.000, 0.000, 0.500], [0.500, 0.500, 0.500], [0.150, 0.650, 0.500], [0.350, 0.150, 0.500], [0.650, 0.850, 0.500], [0.850, 0.350, 0.500]]
}

Entry 2
{
  "formula": "Li2CuSb2",
  "functional": "PBE",
  "state": "optimized geometry",
  "vol_a3_per_atom": 20.10,
  "dos_ef_per_ev_atom": 0.4848,
  "cell": [[-3.023, 5.934, 2.801], [3.023, -5.934, 2.801], [3.023, 5.934, -2.801]],
  "species": ["Li", "Li", "Li", "Li", "Cu", "Cu", "Sb", "Sb", "Sb", "Sb"],
  "frac_coords": [[0.096, 0.165, 0.260], [0.404, 0.665, 0.069], [0.596, 0.335, 0.931], [0.904, 0.835, 0.740], [0.250, 0.750, 0.500], [0.750, 0.250, 0.500], [0.161, 0.687, 0.847], [0.339, 0.187, 0.526], [0.661, 0.813, 0.474], [0.839, 0.313, 0.153]]
}

Of them, entry 2 has the lowest stability.

Entry 1
{
  "formula": "LiCuSb2Te",
  "functional": "PBE",
  "state": "optimized geometry",
  "vol_a3_per_atom": 28.31,
  "dos_ef_per_ev_atom": 0.5760,
  "cell": [[5.056, 0.000, 0.000], [0.000, 5.056, 0.000], [0.000, 0.000, 5.537]],
  "species": ["Li", "Cu", "Sb", "Sb", "Te"],
  "frac_coords": [[0.000, 0.000, 0.000], [0.500, 0.500, 0.500], [0.000, 0.500, 0.500], [0.500, 0.000, 0.500], [0.500, 0.500, 0.000]]
}

Entry 2
{
  "formula": "LiCuSb2Te",
  "functional": "PBE",
  "state": "optimized geometry",
  "vol_a3_per_atom": 24.84,
  "dos_ef_per_ev_atom": 0.4747,
  "cell": [[4.951, 0.000, 0.000], [0.000, 4.951, 0.000], [0.000, 0.000, 5.066]],
  "species": ["Li", "Cu", "Sb", "Sb", "Te"],
  "frac_coords": [[0.000, 0.000, 0.000], [0.500, 0.500, 0.500], [0.000, 0.500, 0.000], [0.500, 0.000, 0.000], [0.000, 0.000, 0.500]]
}

Of them, entry 2 has the lowest stability.

Entry 1
{
  "formula": "Li2ScCu2",
  "functional": "PBE",
  "state": "optimized geometry",
  "vol_a3_per_atom": 14.89,
  "dos_ef_per_ev_atom": 0.7266,
  "cell": [[7.242, 0.000, 0.000], [0.000, 7.242, 0.000], [0.000, 0.000, 2.840]],
  "species": ["Li", "Li", "Li", "Li", "Sc", "Sc", "Cu", "Cu", "Cu", "Cu"],
  "frac_coords": [[0.115, 0.385, 0.000], [0.385, 0.885, 0.000], [0.615, 0.115, 0.000], [0.885, 0.615, 0.000], [0.000, 0.000, 0.000], [0.500, 0.500, 0.000], [0.186, 0.686, 0.500], [0.314, 0.186, 0.500], [0.686, 0.814, 0.500], [0.814, 0.314, 0.500]]
}

Entry 2
{
  "formula": "Li2ScCu2",
  "functional": "PBE",
  "state": "optimized geometry",
  "vol_a3_per_atom": 16.01,
  "dos_ef_per_ev_atom": 0.5286,
  "cell": [[-1.777, 1.777, 6.341], [1.777, -1.777, 6.341], [1.777, 1.777, -6.341]],
  "species": ["Li", "Li", "Sc", "Cu", "Cu"],
  "frac_coords": [[0.250, 0.750, 0.500], [0.750, 0.250, 0.500], [0.000, 0.000, 0.000], [0.403, 0.403, 0.000], [0.597, 0.597, 0.000]]
}

Of them, entry 1 has the lowest stability.

Entry 1
{
  "formula": "LiSc2Cu2",
  "functional": "PBE",
  "state": "optimized geometry",
  "vol_a3_per_atom": 18.14,
  "dos_ef_per_ev_atom": 1.1082,
  "cell": [[7.403, 0.000, 0.000], [0.000, 7.403, 0.000], [0.000, 0.000, 3.311]],
  "species": ["Li", "Li", "Sc", "Sc", "Sc", "Sc", "Cu", "Cu", "Cu", "Cu"],
  "frac_coords": [[0.000, 0.000, 0.000], [0.500, 0.500, 0.000], [0.165, 0.335, 0.500], [0.335, 0.835, 0.500], [0.665, 0.165, 0.500], [0.835, 0.665, 0.500], [0.127, 0.627, 0.000], [0.373, 0.127, 0.000], [0.627, 0.873, 0.000], [0.873, 0.373, 0.000]]
}

Entry 2
{
  "formula": "LiSc2Cu2",
  "functional": "PBE",
  "state": "optimized geometry",
  "vol_a3_per_atom": 18.25,
  "dos_ef_per_ev_atom": 0.5995,
  "cell": [[7.727, 0.000, 0.000], [0.000, 7.727, 0.000], [0.000, 0.000, 3.057]],
  "species": ["Li", "Li", "Sc", "Sc", "Sc", "Sc", "Cu", "Cu", "Cu", "Cu"],
  "frac_coords": [[0.000, 0.000, 0.000], [0.500, 0.500, 0.000], [0.154, 0.346, 0.000], [0.346, 0.846, 0.000], [0.654, 0.154, 0.000], [0.846, 0.654, 0.000], [0.136, 0.636, 0.500], [0.364, 0.136, 0.500], [0.636, 0.864, 0.500], [0.864, 0.364, 0.500]]
}

Of them, entry 2 has the lowest stability.

Entry 1
{
  "formula": "LiCuSi2",
  "functional": "PBE",
  "state": "optimized geometry",
  "vol_a3_per_atom": 14.28,
  "dos_ef_per_ev_atom": 0.3494,
  "cell": [[-1.838, 1.838, 8.457], [1.838, -1.838, 8.457], [1.838, 1.838, -8.457]],
  "species": ["Li", "Li", "Cu", "Cu", "Si", "Si", "Si", "Si"],
  "frac_coords": [[0.000, 0.000, 0.000], [0.750, 0.250, 0.500], [0.250, 0.750, 0.500], [0.500, 0.500, 0.000], [0.122, 0.625, 0.997], [0.375, 0.372, 0.497], [0.628, 0.125, 0.003], [0.875, 0.878, 0.503]]
}

Entry 2
{
  "formula": "LiCuSi2",
  "functional": "PBE",
  "state": "optimized geometry",
  "vol_a3_per_atom": 13.08,
  "dos_ef_per_ev_atom": 0.3277,
  "cell": [[-1.864, 1.864, 3.766], [1.864, -1.864, 3.766], [1.864, 1.864, -3.766]],
  "species": ["Li", "Cu", "Si", "Si"],
  "frac_coords": [[0.000, 0.000, 0.000], [0.250, 0.750, 0.500], [0.500, 0.500, 0.000], [0.750, 0.250, 0.500]]
}

Of them, entry 1 has the lowest stability.

Entry 1
{
  "formula": "LiCuSi2",
  "functional": "PBE",
  "state": "optimized geometry",
  "vol_a3_per_atom": 13.19,
  "dos_ef_per_ev_atom": 0.0371,
  "cell": [[2.605, -3.964, 0.000], [2.605, 3.964, 0.000], [0.000, 0.000, 2.554]],
  "species": ["Li", "Cu", "Si", "Si"],
  "frac_coords": [[0.000, 0.000, 0.000], [0.500, 0.500, 0.000], [0.000, 0.500, 0.500], [0.500, 0.000, 0.500]]
}

Entry 2
{
  "formula": "LiCuSi2",
  "functional": "PBE",
  "state": "optimized geometry",
  "vol_a3_per_atom": 13.89,
  "dos_ef_per_ev_atom": 0.3698,
  "cell": [[2.636, 0.000, 0.000], [0.000, 4.058, 0.000], [0.000, 0.000, 5.196]],
  "species": ["Li", "Cu", "Si", "Si"],
  "frac_coords": [[0.000, 0.000, 0.000], [0.500, 0.000, 0.500], [0.500, 0.500, 0.245], [0.500, 0.500, 0.755]]
}

Of them, entry 1 has the lowest stability.